(1)
First-principles (PBE) data for an optimized crystal structure of In3TeI2, as listed in the Alexandria database.

a b c (Å): 8.4176 8.4176 9.3598
angles (deg): 106.17 106.17 45.98
Atoms (fractional coordinates):
In1 0.0009 0.9991 0.7500
In2 0.3534 0.3537 0.4267
In3 0.3537 0.3534 0.9267
In4 0.6463 0.6466 0.0733
In5 0.6466 0.6463 0.5733
In6 0.9991 0.0009 0.2500
Te1 0.4992 0.5008 0.2500
Te2 0.5008 0.4992 0.7500
I1 0.1671 0.1674 0.0837
I2 0.1674 0.1671 0.5837
I3 0.8326 0.8329 0.4163
I4 0.8329 0.8326 0.9163

Results
The space-group type is C2/c, No. 15.

---

(2)
First-principles (PBE) data for an optimized crystal structure of In3TeI7, as listed in the Alexandria database.

a b c (Å): 8.5216 8.5216 10.4270
angles (deg): 127.69 127.69 60.04
Atoms (fractional coordinates):
In1 0.0000 0.0000 0.0000
In2 0.0023 0.4738 0.0025
In3 0.4738 0.0023 0.0025
Te1 0.2743 0.2743 0.2353
I1 0.2000 0.7088 0.7551
I2 0.2011 0.2011 0.7583
I3 0.2601 0.7705 0.2182
I4 0.7063 0.7063 0.7599
I5 0.7088 0.2000 0.7551
I6 0.7695 0.7695 0.2157
I7 0.7705 0.2601 0.2182

Results
The space-group type is Cm, No. 8.

---

(3)
First-principles (PBE) data for an optimized crystal structure of In12Te5I3, as listed in the Alexandria database.

a b c (Å): 16.6192 16.6192 16.6192
angles (deg): 109.47 109.47 109.47
Atoms (fractional coordinates):
In1 0.0565 0.2242 0.1460
In2 0.0565 0.3323 0.9105
In3 0.0782 0.7242 0.6677
In4 0.0782 0.8540 0.4105
In5 0.0895 0.6460 0.4218
In6 0.0895 0.9435 0.6677
In7 0.1460 0.0565 0.2242
In8 0.1460 0.5895 0.9218
In9 0.1677 0.2242 0.5782
In10 0.1677 0.4435 0.5895
In11 0.2242 0.1460 0.0565
In12 0.2242 0.5782 0.1677
In13 0.2758 0.3323 0.9218
In14 0.2758 0.4435 0.3540
In15 0.3323 0.9105 0.0565
In16 0.3323 0.9218 0.2758
In17 0.3540 0.2758 0.4435
In18 0.3540 0.5782 0.9105
In19 0.4105 0.0782 0.8540
In20 0.4105 0.8323 0.5565
In21 0.4218 0.0895 0.6460
In22 0.4218 0.8323 0.7758
In23 0.4435 0.3540 0.2758
In24 0.4435 0.5895 0.1677
In25 0.5565 0.4105 0.8323
In26 0.5565 0.6460 0.7242
In27 0.5782 0.1677 0.2242
In28 0.5782 0.9105 0.3540
In29 0.5895 0.1677 0.4435
In30 0.5895 0.9218 0.1460
In31 0.6460 0.4218 0.0895
In32 0.6460 0.7242 0.5565
In33 0.6677 0.0782 0.7242
In34 0.6677 0.0895 0.9435
In35 0.7242 0.5565 0.6460
In36 0.7242 0.6677 0.0782
In37 0.7758 0.4218 0.8323
In38 0.7758 0.8540 0.9435
In39 0.8323 0.5565 0.4105
In40 0.8323 0.7758 0.4218
In41 0.8540 0.4105 0.0782
In42 0.8540 0.9435 0.7758
In43 0.9105 0.0565 0.3323
In44 0.9105 0.3540 0.5782
In45 0.9218 0.1460 0.5895
In46 0.9218 0.2758 0.3323
In47 0.9435 0.6677 0.0895
In48 0.9435 0.7758 0.8540
Te1 0.0000 0.0000 0.0000
Te2 0.0000 0.0000 0.5000
Te3 0.0000 0.5000 0.0000
Te4 0.0000 0.5000 0.5000
Te5 0.1250 0.7500 0.8750
Te6 0.1250 0.8750 0.2500
Te7 0.2500 0.1250 0.8750
Te8 0.2500 0.6250 0.3750
Te9 0.3750 0.2500 0.6250
Te10 0.3750 0.6250 0.7500
Te11 0.5000 0.0000 0.0000
Te12 0.5000 0.0000 0.5000
Te13 0.5000 0.5000 0.0000
Te14 0.5000 0.5000 0.5000
Te15 0.6250 0.3750 0.2500
Te16 0.6250 0.7500 0.3750
Te17 0.7500 0.3750 0.6250
Te18 0.7500 0.8750 0.1250
Te19 0.8750 0.1250 0.7500
Te20 0.8750 0.2500 0.1250
I1 0.1250 0.2500 0.3750
I2 0.1250 0.3750 0.7500
I3 0.2500 0.3750 0.1250
I4 0.2500 0.8750 0.6250
I5 0.3750 0.1250 0.2500
I6 0.3750 0.7500 0.1250
I7 0.6250 0.2500 0.8750
I8 0.6250 0.8750 0.7500
I9 0.7500 0.1250 0.3750
I10 0.7500 0.6250 0.8750
I11 0.8750 0.6250 0.2500
I12 0.8750 0.7500 0.6250

Results
The space-group type is Ia-3d, No. 230.

---

(4)
First-principles (PBE) data for an optimized crystal structure of In3Te2I2, as listed in the Alexandria database.

a b c (Å): 14.8349 4.3636 7.9211
angles (deg): 90.00 97.30 90.00
Atoms (fractional coordinates):
In1 0.0000 0.0000 0.0000
In2 0.2464 0.5000 0.2146
In3 0.2536 0.0000 0.7854
In4 0.5000 0.5000 0.0000
In5 0.7464 0.0000 0.2146
In6 0.7536 0.5000 0.7854
Te1 0.1171 0.5000 0.8731
Te2 0.3829 0.0000 0.1269
Te3 0.6171 0.0000 0.8731
Te4 0.8829 0.5000 0.1269
I1 0.1281 0.0000 0.3751
I2 0.3719 0.5000 0.6249
I3 0.6281 0.5000 0.3751
I4 0.8719 0.0000 0.6249

Results
The space-group type is C2/m, No. 12.

---

(5)
First-principles (PBE) data for an optimized crystal structure of In2Te2I, as listed in the Alexandria database.

a b c (Å): 8.8677 8.8677 4.0752
angles (deg): 90.00 90.00 90.00
Atoms (fractional coordinates):
In1 0.1458 0.3542 0.0000
In2 0.3542 0.8542 0.0000
In3 0.6458 0.1458 0.0000
In4 0.8542 0.6458 0.0000
Te1 0.1564 0.6564 0.5000
Te2 0.3436 0.1564 0.5000
Te3 0.6564 0.8436 0.5000
Te4 0.8436 0.3436 0.5000
I1 0.0000 0.0000 0.5000
I2 0.5000 0.5000 0.5000

Results
The space-group type is P4/mbm, No. 127. As for the energy above the most stable polymorph in this dataset: 1.02 eV/f.u.

---

(6)
First-principles (PBE) data for an optimized crystal structure of In2Te2I, as listed in the Alexandria database.

a b c (Å): 15.5054 6.2290 4.6102
angles (deg): 90.00 107.15 90.00
Atoms (fractional coordinates):
In1 0.2004 0.0000 0.2016
In2 0.2996 0.5000 0.7984
In3 0.7004 0.5000 0.2016
In4 0.7996 0.0000 0.7984
Te1 0.1782 0.5000 0.1780
Te2 0.3218 0.0000 0.8220
Te3 0.6782 0.0000 0.1780
Te4 0.8218 0.5000 0.8220
I1 0.0000 0.0000 0.0000
I2 0.5000 0.5000 0.0000

Results
The space-group type is C2/m, No. 12. As for the energy above the most stable polymorph in this dataset: 0.00 eV/f.u.

---

(7)
First-principles (PBE) data for an optimized crystal structure of In2Te2I, as listed in the Alexandria database.

a b c (Å): 5.2202 5.2202 13.0285
angles (deg): 90.00 90.00 90.00
Atoms (fractional coordinates):
In1 0.0000 0.5000 0.2500
In2 0.0000 0.5000 0.7500
In3 0.5000 0.0000 0.2500
In4 0.5000 0.0000 0.7500
Te1 0.0000 0.0000 0.1398
Te2 0.0000 0.0000 0.8602
Te3 0.5000 0.5000 0.3602
Te4 0.5000 0.5000 0.6398
I1 0.0000 0.0000 0.5000
I2 0.5000 0.5000 0.0000

Results
The space-group type is I4/mmm, No. 139. As for the energy above the most stable polymorph in this dataset: 0.14 eV/f.u.

---

(8)
First-principles (PBE) data for an optimized crystal structure of In2Te2I, as listed in the Alexandria database.

a b c (Å): 5.3876 5.3876 11.2409
angles (deg): 90.00 90.00 90.00
Atoms (fractional coordinates):
In1 0.0000 0.0000 0.1263
In2 0.0000 0.0000 0.8737
In3 0.5000 0.5000 0.3737
In4 0.5000 0.5000 0.6263
Te1 0.0000 0.5000 0.2500
Te2 0.0000 0.5000 0.7500
Te3 0.5000 0.0000 0.2500
Te4 0.5000 0.0000 0.7500
I1 0.0000 0.0000 0.5000
I2 0.5000 0.5000 0.0000

Results
The space-group type is I4/mmm, No. 139. As for the energy above the most stable polymorph in this dataset: 0.62 eV/f.u.

---

(9)
First-principles (PBE) data for an optimized crystal structure of InTeI, as listed in the Alexandria database.

a b c (Å): 3.0575 4.9437 8.4250
angles (deg): 90.66 92.70 90.01
Atoms (fractional coordinates):
In1 0.0000 0.0000 0.0000
Te1 0.9709 0.4971 0.7876
I1 0.0434 0.9806 0.3673

Results
The space-group type is P1, No. 1.

---

(10)
First-principles (PBE) data for an optimized crystal structure of InTeI2, as listed in the Alexandria database.

a b c (Å): 8.2033 5.7697 16.2504
angles (deg): 90.00 120.29 90.00
Atoms (fractional coordinates):
In1 0.1891 0.0002 0.4397
In2 0.1891 0.4998 0.9397
In3 0.8109 0.9998 0.5603
In4 0.8109 0.5002 0.0603
Te1 0.0669 0.2489 0.7503
Te2 0.0669 0.2511 0.2503
Te3 0.9331 0.7489 0.7497
Te4 0.9331 0.7511 0.2497
I1 0.1659 0.7438 0.5863
I2 0.1659 0.7562 0.0863
I3 0.4927 0.7438 0.4137
I4 0.4927 0.7562 0.9137
I5 0.5073 0.2438 0.0863
I6 0.5073 0.2562 0.5863
I7 0.8341 0.2438 0.9137
I8 0.8341 0.2562 0.4137

Results
The space-group type is P2_1/c, No. 14. As for the energy above the most stable polymorph in this dataset: 0.00 eV/f.u.

---

(11)
First-principles (PBE) data for an optimized crystal structure of InTeI2, as listed in the Alexandria database.

a b c (Å): 8.2407 8.2407 8.2407
angles (deg): 90.00 90.00 90.00
Atoms (fractional coordinates):
In1 0.0000 0.0000 0.0000
In2 0.0000 0.5000 0.5000
In3 0.5000 0.0000 0.5000
In4 0.5000 0.5000 0.0000
Te1 0.0000 0.0000 0.5000
Te2 0.0000 0.5000 0.0000
Te3 0.5000 0.0000 0.0000
Te4 0.5000 0.5000 0.5000
I1 0.2500 0.2500 0.2500
I2 0.2500 0.2500 0.7500
I3 0.2500 0.7500 0.2500
I4 0.2500 0.7500 0.7500
I5 0.7500 0.2500 0.2500
I6 0.7500 0.2500 0.7500
I7 0.7500 0.7500 0.2500
I8 0.7500 0.7500 0.7500

Results
The space-group type is Fm-3m, No. 225. As for the energy above the most stable polymorph in this dataset: 1.63 eV/f.u.

---

(12)
First-principles (PBE) data for an optimized crystal structure of In3Te3I, as listed in the Alexandria database.

a b c (Å): 12.0369 4.4005 20.9455
angles (deg): 90.00 90.00 90.00
Atoms (fractional coordinates):
In1 0.0514 0.2500 0.1033
In2 0.1609 0.2500 0.6335
In3 0.1775 0.2500 0.9897
In4 0.3225 0.7500 0.4897
In5 0.3391 0.7500 0.1335
In6 0.4486 0.7500 0.6033
In7 0.5514 0.2500 0.3967
In8 0.6609 0.2500 0.8665
In9 0.6775 0.2500 0.5103
In10 0.8225 0.7500 0.0103
In11 0.8391 0.7500 0.3665
In12 0.9486 0.7500 0.8967
Te1 0.0919 0.2500 0.8620
Te2 0.1658 0.2500 0.4972
Te3 0.2308 0.2500 0.1956
Te4 0.2692 0.7500 0.6956
Te5 0.3342 0.7500 0.9972
Te6 0.4081 0.7500 0.3620
Te7 0.5919 0.2500 0.6380
Te8 0.6658 0.2500 0.0028
Te9 0.7308 0.2500 0.3044
Te10 0.7692 0.7500 0.8044
Te11 0.8342 0.7500 0.5028
Te12 0.9081 0.7500 0.1380
I1 0.0586 0.7500 0.3292
I2 0.4414 0.2500 0.8292
I3 0.5586 0.7500 0.1708
I4 0.9414 0.2500 0.6708

Results
The space-group type is Pnma, No. 62.

---

(13)
First-principles (PBE) data for an optimized crystal structure of InTeI, as listed in the Alexandria database.

a b c (Å): 14.7698 4.4395 8.2411
angles (deg): 90.00 91.96 90.00
Atoms (fractional coordinates):
In1 0.0000 0.0000 0.0000
In2 0.2283 0.5000 0.2398
In3 0.5000 0.5000 0.0000
In4 0.7283 0.0000 0.2398
Te1 0.1956 0.0000 0.0267
Te2 0.4373 0.0000 0.8288
Te3 0.6956 0.5000 0.0267
Te4 0.9373 0.5000 0.8288
I1 0.1444 0.5000 0.5274
I2 0.4187 0.5000 0.3234
I3 0.6444 0.0000 0.5274
I4 0.9187 0.0000 0.3234

Results
The space-group type is Cm, No. 8.

---

(14)
First-principles (PBE) data for an optimized crystal structure of InTeI3, as listed in the Alexandria database.

a b c (Å): 7.2949 8.1384 8.1429
angles (deg): 119.96 90.02 90.03
Atoms (fractional coordinates):
In1 0.0000 0.0000 0.0000
In2 0.5000 0.0000 0.0000
Te1 0.2497 0.3338 0.6676
Te2 0.7503 0.6662 0.3324
I1 0.2502 0.3341 0.1668
I2 0.2500 0.8328 0.1669
I3 0.2498 0.8331 0.6660
I4 0.7502 0.1669 0.3340
I5 0.7500 0.1672 0.8331
I6 0.7498 0.6659 0.8332

Results
The space-group type is P-1, No. 2. As for the energy above the most stable polymorph in this dataset: 0.80 eV/f.u.

---

(15)
First-principles (PBE) data for an optimized crystal structure of InTeI, as listed in the Alexandria database.

a b c (Å): 7.7052 4.4444 7.9080
angles (deg): 90.00 108.83 90.00
Atoms (fractional coordinates):
In1 0.0000 0.0000 0.0000
In2 0.5000 0.5000 0.0000
Te1 0.3915 0.0000 0.1756
Te2 0.8915 0.5000 0.1756
I1 0.3825 0.5000 0.6399
I2 0.8825 0.0000 0.6399

Results
The space-group type is Cm, No. 8.

---

(16)
First-principles (PBE) data for an optimized crystal structure of In2Te2I, as listed in the Alexandria database.

a b c (Å): 8.7533 8.7533 8.7533
angles (deg): 117.71 117.71 94.02
Atoms (fractional coordinates):
In1 0.3004 0.0000 0.3004
In2 0.6996 0.0000 0.6996
In3 0.7500 0.5504 0.8004
In4 0.7500 0.9496 0.1996
Te1 0.0137 0.7613 0.2523
Te2 0.5090 0.7613 0.7477
Te3 0.5113 0.2637 0.7523
Te4 0.5113 0.7590 0.2477
I1 0.0958 0.0958 0.0000
I2 0.8458 0.3458 0.5000

Results
The space-group type is I4_1md, No. 109. As for the energy above the most stable polymorph in this dataset: 0.06 eV/f.u.

---

(17)
First-principles (PBE) data for an optimized crystal structure of In3Te2I, as listed in the Alexandria database.

a b c (Å): 6.2941 14.2106 4.5872
angles (deg): 90.00 90.00 90.00
Atoms (fractional coordinates):
In1 0.0000 0.0000 0.0000
In2 0.0000 0.3110 0.9994
In3 0.0000 0.6890 0.9994
In4 0.5000 0.1890 0.4994
In5 0.5000 0.5000 0.5000
In6 0.5000 0.8110 0.4994
Te1 0.0000 0.1615 0.4992
Te2 0.0000 0.8385 0.4992
Te3 0.5000 0.3385 0.9992
Te4 0.5000 0.6615 0.9992
I1 0.0000 0.5000 0.4984
I2 0.5000 0.0000 0.9984

Results
The space-group type is Imm2, No. 44.

---

(18)
First-principles (PBE) data for an optimized crystal structure of In3TeI7, as listed in the Alexandria database.

a b c (Å): 8.5158 8.5158 7.3821
angles (deg): 90.00 90.00 120.00
Atoms (fractional coordinates):
In1 0.0181 0.5091 0.0000
In2 0.4909 0.5091 0.0000
In3 0.4909 0.9819 0.0000
Te1 0.3333 0.6667 0.2330
I1 0.1693 0.3386 0.7537
I2 0.1693 0.8307 0.7537
I3 0.3395 0.1697 0.2169
I4 0.6614 0.8307 0.7537
I5 0.6667 0.3333 0.7606
I6 0.8303 0.1697 0.2169
I7 0.8303 0.6605 0.2169

Results
The space-group type is P3m1, No. 156.

---

(19)
First-principles (PBE) data for an optimized crystal structure of InTeI, as listed in the Alexandria database.

a b c (Å): 4.4428 4.4434 7.5419
angles (deg): 89.79 89.49 60.03
Atoms (fractional coordinates):
In1 0.0000 0.0000 0.0000
Te1 0.6641 0.6670 0.1746
I1 0.0103 0.0012 0.6428

Results
The space-group type is P1, No. 1.

---

(20)
First-principles (PBE) data for an optimized crystal structure of InTeI, as listed in the Alexandria database.

a b c (Å): 4.2950 4.2950 7.3463
angles (deg): 90.00 90.00 120.00
Atoms (fractional coordinates):
In1 0.0000 0.0000 0.0000
Te1 0.6667 0.3333 0.2012
I1 0.3333 0.6667 0.7267

Results
The space-group type is P3m1, No. 156.

---

no.,DFT total energy (eV per atom),formation energy (no corrections) (eV/atom)
1,-2.745,-0.335
2,-2.447,-0.428
3,-2.768,-0.107
4,-2.853,-0.339
5,-2.730,-0.068
6,-2.935,-0.273
7,-2.906,-0.244
8,-2.811,-0.149
9,-2.565,-0.088
10,-2.475,-0.230
11,-2.068,0.177
12,-3.124,-0.382
13,-2.847,-0.370
14,-2.064,0.042
15,-2.878,-0.401
16,-2.923,-0.261
17,-2.963,-0.288
18,-2.448,-0.429
19,-2.877,-0.400
20,-2.831,-0.354